# 1
An optimized crystal structure of Dy2TiTl3S6, computed with GGA-PBE.

Results
raw formation energy	-1.28	eV/atom
theoretical density	6.59	Mg/m³

a b c (Å): 6.755 11.684 7.860
angles (deg): 90.00 106.81 90.00
Space group C2/m (No. 12)
One atom of each set of equivalent atoms:
Dy: 0.000 0.166 0.000
Ti: 0.000 0.500 0.000
Tl: 0.000 0.000 0.500
Tl: 0.000 0.328 0.500
S: 0.219 0.345 0.191
S: 0.246 0.500 0.801

---

# 2
An optimized crystal structure of In2Pd7Pt, computed with GGA-PBE.

Results
formation enthalpy at 0 K	0.032	eV/atom
theoretical density	10.29	Mg/m³

a b c (Å): 8.483 15.878 2.803
angles (deg): 90.00 90.00 90.00
Space group Cmmm (No. 65)
One atom of each set of equivalent atoms:
In: 0.000 0.178 0.000
Pd: 0.000 0.000 0.000
Pd: 0.000 0.322 0.500
Pd: 0.229 0.411 0.000
Pt: 0.000 0.500 0.500

---

# 3
An optimized crystal structure of HgSbTe2, computed with GGA-PBE.

Results
excess energy over the best structure of this formula in the dataset	0.000	eV/atom
raw formation energy	-0.08	eV/atom
theoretical density	7.72	Mg/m³

a b c (Å): 7.662 4.444 7.742
angles (deg): 90.00 109.50 90.00
Space group C2/m (No. 12)
One atom of each set of equivalent atoms:
Hg: 0.000 0.000 0.000
Sb: 0.000 0.500 0.500
Te: 0.248 0.000 0.744

---

# 4
An optimized crystal structure of ZrTi3S2, computed with GGA-PBE.

Results
raw formation energy	-0.99	eV/atom
theoretical density	5.18	Mg/m³

a b c (Å): 16.068 3.437 7.222
angles (deg): 90.00 106.01 90.00
Space group C2/m (No. 12)
One atom of each set of equivalent atoms:
Zr: 0.196 0.000 0.326
Ti: 0.027 0.000 0.759
Ti: 0.091 0.500 0.525
Ti: 0.179 0.500 0.963
S: 0.077 0.500 0.168
S: 0.185 0.000 0.723

---

Question: Look up the theoretical density of the first one.
Answer: 6.59 Mg/m³